Entry 1:
# Zr3Sc2N2 (PBE, relaxed)
data_Zr3Sc2N2
_chemical_formula_sum 'Zr6 Sc4 N4'
_space_group_name_H-M_alt 'C 1 2/m 1'
_space_group_IT_number 12
_cell_length_a 10.747
_cell_length_b 3.109
_cell_length_c 8.021
_cell_angle_alpha 90.00
_cell_angle_beta 116.83
_cell_angle_gamma 90.00
loop_
_space_group_symop_operation_xyz
'x,y,z'
'-x,-y,-z'
'-x,y,-z'
'x,-y,z'
'x+1/2,y+1/2,z'
'-x+1/2,-y+1/2,-z'
'-x+1/2,y+1/2,-z'
'x+1/2,-y+1/2,z'
loop_
_atom_site_label
_atom_site_fract_x
_atom_site_fract_y
_atom_site_fract_z
Zr1 0.000 0.000 0.000
Zr2 0.116 0.000 0.422
Sc1 0.195 0.500 0.792
N1 0.180 0.500 0.264
# * VASP energy: -119.8 eV for the cell shown
# * total magnetic moment: 0.00 Bohr magnetons per cell
# * ΔE_f (raw): -5.0 eV per formula unit

Entry 2:
# ZrSc2N (PBE, relaxed)
data_ZrSc2N
_chemical_formula_sum 'Zr3 Sc6 N3'
_space_group_name_H-M_alt 'R -3 m'
_space_group_IT_number 166
_space_group_name_Hall '-R 3 2"'
_cell_length_a 3.1520
_cell_length_b 3.1520
_cell_length_c 25.7635
_cell_angle_alpha 90.00
_cell_angle_beta 90.00
_cell_angle_gamma 120.00
loop_
_atom_site_label
_atom_site_fract_x
_atom_site_fract_y
_atom_site_fract_z
Zr1 0.0000 0.0000 0.0000
Sc1 0.0000 0.0000 0.1189
N1 0.0000 0.0000 0.5000
# * VASP energy: -98.2 eV for the cell shown
# * total magnetic moment: 0.00 Bohr magnetons per cell
# * ΔE_f (raw): -3.2 eV per formula unit

Entry 3:
# Zr4ScN5 (PBE, relaxed)
data_Zr4ScN5
_chemical_formula_sum 'Zr8 Sc2 N10'
_space_group_name_H-M_alt 'I 4/m'
_space_group_IT_number 87
_space_group_name_Hall '-I 4'
_cell_length_a 7.264
_cell_length_b 7.264
_cell_length_c 4.600
_cell_angle_alpha 90.00
_cell_angle_beta 90.00
_cell_angle_gamma 90.00
loop_
_atom_site_label
_atom_site_fract_x
_atom_site_fract_y
_atom_site_fract_z
Zr1 0.102 0.299 0.000
Sc1 0.000 0.000 0.500
N1 0.000 0.000 0.000
N2 0.098 0.297 0.500
# * VASP energy: -199.4 eV for the cell shown
# * total magnetic moment: 0.00 Bohr magnetons per cell
# * ΔE_f (raw): -17.5 eV per formula unit

What did the second record say?
# ZrSc2N (PBE, relaxed)
data_ZrSc2N
_chemical_formula_sum 'Zr3 Sc6 N3'
_space_group_name_H-M_alt 'R -3 m'
_space_group_IT_number 166
_space_group_name_Hall '-R 3 2"'
_cell_length_a 3.1520
_cell_length_b 3.1520
_cell_length_c 25.7635
_cell_angle_alpha 90.00
_cell_angle_beta 90.00
_cell_angle_gamma 120.00
loop_
_atom_site_label
_atom_site_fract_x
_atom_site_fract_y
_atom_site_fract_z
Zr1 0.0000 0.0000 0.0000
Sc1 0.0000 0.0000 0.1189
N1 0.0000 0.0000 0.5000
# * VASP energy: -98.2 eV for the cell shown
# * total magnetic moment: 0.00 Bohr magnetons per cell
# * ΔE_f (raw): -3.2 eV per formula unit